Entry 1:
Density functional theory data (PBE-GGA) for a relaxed NaTbScTl crystal.

The structure in POSCAR format:
```
NaTbScTl
1.0
5.274 0.000 0.000
2.637 4.567 0.000
2.637 1.522 4.306
Sc Na Tl Tb
1 1 1 1
Cartesian
0.000 0.000 0.000
2.637 1.522 1.076
7.910 4.567 3.229
5.274 3.045 2.153
```

Results
* theoretical density: 6.91 g/cm3
* energy of formation from the pure elements: -0.0179 eV per atom
* space-group type: F-43m

=====

Entry 2:
Density functional theory data (PBE-GGA) for a relaxed MgZrScAu crystal.

The structure in POSCAR format:
```
MgZrScAu
1.0
4.902 0.000 0.000
2.451 4.246 0.000
2.451 1.415 4.003
Sc Mg Au Zr
1 1 1 1
Cartesian
0.000 0.000 0.000
7.354 4.246 3.002
2.451 1.415 1.001
4.902 2.830 2.001
```

Results
* theoretical density: 7.12 g/cm3
* energy of formation from the pure elements: -0.2589 eV per atom
* space-group type: F-43m

=====

Entry 3:
Density functional theory data (PBE-GGA) for a relaxed CaSiMo2 crystal.

The structure in POSCAR format:
```
CaSiMo2
1.0
6.043 0.340 0.271
3.108 5.193 -0.271
-3.882 -3.913 2.514
Ca Mo Si
1 2 1
Cartesian
3.368 -0.403 1.393
0.421 0.255 0.000
4.154 2.512 0.000
1.901 2.024 1.122
```

Results
* theoretical density: 5.97 g/cm3
* raw formation energy: 0.29 eV/atom
* space-group type: Immm

=====

| no. | M_tot (μB per cell) |
| --- | --- |
| 1 | 0.01 |
| 2 | 0.89 |
| 3 | 0.00 |